Record 1
## NiPbAu2Br (PBE)

Data for a relaxed NiPbAu2Br crystal.

Output
Uncorrected formation energy ... 4.4 eV/f.u.

Cell: 5.3698 5.0875 5.3698 Å, 90.00 90.00 90.00°
Atoms (fractional coordinates):
Au 0.5000 0.0000 0.0000
Br 0.5000 0.5000 0.5000
Pb 0.0000 0.0000 0.0000
Ni 0.0000 0.5000 0.0000
Au 0.0000 0.0000 0.5000



Record 2
## Mn3PdPt2 (PBE)

Data for a relaxed Mn3PdPt2 crystal.

Output
ΔE_f ... -0.294 eV per atom

Cell: 2.9229 2.9229 10.6301 Å, 90.00 90.00 90.00°
Atoms (fractional coordinates):
Pt 0.5000 0.5000 0.1668
Mn 0.0000 0.0000 0.0000
Pt 0.5000 0.5000 0.8332
Mn 0.0000 0.0000 0.6672
Mn 0.0000 0.0000 0.3328
Pd 0.5000 0.5000 0.5000



Record 3
## Re2SnGePt (PBE)

Data for a relaxed Re2SnGePt crystal.

Output
ΔE_f ... 2.522 eV per atom

Cell: 4.8920 4.9358 4.8920 Å, 90.00 90.00 90.00°
Atoms (fractional coordinates):
Pt 0.5000 0.5000 0.5000
Sn 0.0000 0.0000 0.0000
Re 0.5000 0.0000 0.0000
Ge 0.0000 0.5000 0.0000
Re 0.0000 0.0000 0.5000



Number 1: DOS at the Fermi energy 2.09 states/eV per atom, total magnetization 1.4 Bohr magnetons per cell. Number 2: DOS at the Fermi energy 0.44 states/eV per atom, total magnetization 13.2 Bohr magnetons per cell. Number 3: DOS at the Fermi energy 1.03 states/eV per atom, total magnetization 2.0 Bohr magnetons per cell.